Record 1
VASP calculation (PBE) on Ge2SbTe4 after structural relaxation.

Summary:
uncorrected formation energy	0.00	eV/atom
space-group type	Cmcm

Unit cell a=4.2496 b=7.2517 c=13.8411 alpha=90.00 beta=90.00 gamma=107.04
Element x y z (fractional)
Ge  0.1404  0.2808  0.4442
Ge  0.8596  0.7192  0.9442
Ge  0.1404  0.2808  0.0558
Ge  0.8596  0.7192  0.5558
Sb  0.5844  0.1688  0.7500
Sb  0.4156  0.8312  0.2500
Te  0.7725  0.5451  0.1304
Te  0.7725  0.5451  0.3696
Te  0.2275  0.4549  0.8696
Te  0.2275  0.4549  0.6304
Te  0.9351  0.8701  0.7500
Te  0.0649  0.1299  0.2500
Te  0.5000  0.0000  0.0000
Te  0.5000  0.0000  0.5000

Record 2
VASP calculation (PBE) on CaAs12Rh4 after structural relaxation.

Summary:
formation enthalpy at 0 K	-0.4906	eV/atom
space-group type	Im-3

Unit cell a=7.4985 b=7.4985 c=7.4985 alpha=109.47 beta=109.47 gamma=109.47
Element x y z (fractional)
Ca  0.0000  0.0000  0.0000
As  0.8526  0.3476  0.2002
As  0.3476  0.4950  0.1474
As  0.7998  0.1474  0.6524
As  0.3476  0.2002  0.8526
As  0.2002  0.8526  0.3476
As  0.6524  0.5050  0.8526
As  0.4950  0.1474  0.3476
As  0.5050  0.8526  0.6524
As  0.6524  0.7998  0.1474
As  0.8526  0.6524  0.5050
As  0.1474  0.3476  0.4950
As  0.1474  0.6524  0.7998
Rh  0.0000  0.5000  0.0000
Rh  0.5000  0.0000  0.0000
Rh  0.5000  0.5000  0.5000
Rh  0.0000  0.0000  0.5000

Record 3
VASP calculation (PBE) on TmZr2Co2 after structural relaxation.

Summary:
formation enthalpy at 0 K	-0.1629	eV/atom
space-group type	C2/m

Unit cell a=3.5331 b=5.1226 c=5.8092 alpha=101.25 beta=107.70 gamma=90.00
Element x y z (fractional)
Tm  0.0000  0.0000  0.0000
Zr  0.3560  0.4345  0.7119
Zr  0.6440  0.5655  0.2881
Co  0.7271  0.1305  0.4542
Co  0.2729  0.8695  0.5458

Record 4
VASP calculation (PBE) on UPa2Fe9 after structural relaxation.

Summary:
formation enthalpy at 0 K	-0.0941	eV/atom
space-group type	R-3m

Unit cell a=4.8553 b=4.8553 c=8.9180 alpha=74.20 beta=74.20 gamma=60.00
Site moments in Bohr magnetons follow the coordinates.
Element x y z (fractional)
U  0.0000  0.0000  0.0000  -2.08
Pa  0.8577  0.8577  0.4269  -0.81
Pa  0.1423  0.1423  0.5731  -0.81
Fe  0.6670  0.6670  0.9989  1.99
Fe  0.3330  0.3330  0.0011  1.99
Fe  0.5000  0.5000  0.5000  1.18
Fe  0.4178  0.4178  0.2455  1.78
Fe  0.9188  0.4178  0.2455  1.78
Fe  0.4178  0.9188  0.2455  1.78
Fe  0.5822  0.5822  0.7545  1.78
Fe  0.5822  0.0812  0.7545  1.78
Fe  0.0812  0.5822  0.7545  1.78

Record 5
VASP calculation (PBE) on K2CuW after structural relaxation.

Summary:
formation enthalpy at 0 K	1.6287	eV/atom
space-group type	I4/mmm

Unit cell a=6.3973 b=6.3973 c=6.3973 alpha=142.54 beta=142.54 gamma=54.01
Site moments in Bohr magnetons follow the coordinates.
Element x y z (fractional)
Cu  0.7500  0.2500  0.5000  0.12
K  0.0000  0.0000  0.0000  0.00
K  0.5000  0.5000  0.0000  0.00
W  0.2500  0.7500  0.5000  2.04

Record 6
VASP calculation (PBE) on NaY2Al2 after structural relaxation.

Summary:
formation enthalpy at 0 K	-0.0669	eV/atom
space-group type	P4/mbm

Unit cell a=9.0854 b=9.0854 c=3.2777 alpha=90.00 beta=90.00 gamma=90.00
Element x y z (fractional)
Y  0.3705  0.8705  0.0000
Y  0.8705  0.6295  0.0000
Y  0.6295  0.1295  0.0000
Y  0.1295  0.3705  0.0000
Na  0.0000  0.0000  0.0000
Na  0.5000  0.5000  0.0000
Al  0.1697  0.6697  0.5000
Al  0.6697  0.8303  0.5000
Al  0.8303  0.3303  0.5000
Al  0.3303  0.1697  0.5000

Record 7
VASP calculation (PBE) on TaGeSe3 after structural relaxation.

Summary:
uncorrected formation energy	0.06	eV/atom
space-group type	Pm-3m

Unit cell a=5.0364 b=5.0364 c=5.0364 alpha=90.00 beta=90.00 gamma=90.00
Element x y z (fractional)
Ge  0.5000  0.5000  0.5000
Se  0.0000  0.5000  0.0000
Se  0.0000  0.0000  0.5000
Se  0.5000  0.0000  0.0000
Ta  0.0000  0.0000  0.0000

Record 8
VASP calculation (PBE) on LaNiSe4 after structural relaxation.

Summary:
uncorrected formation energy	0.04	eV/atom
space-group type	F-43m

Unit cell a=5.7166 b=5.7166 c=5.7166 alpha=60.00 beta=60.00 gamma=60.00
Site moments in Bohr magnetons follow the coordinates.
Element x y z (fractional)
La  0.7500  0.7500  0.7500  -0.03
Ni  0.0000  0.0000  0.0000  0.51
Se  0.8781  0.3740  0.3740  0.00
Se  0.3740  0.3740  0.8781  0.00
Se  0.3740  0.8781  0.3740  0.00
Se  0.3740  0.3740  0.3740  0.00

Record 9
VASP calculation (PBE) on POs2Pt after structural relaxation.

Summary:
formation enthalpy at 0 K	0.1951	eV/atom
space-group type	P4mm

Unit cell a=2.8137 b=2.8137 c=7.2437 alpha=90.00 beta=90.00 gamma=90.00
Element x y z (fractional)
P  0.0000  0.0000  0.4804
Os  0.0000  0.0000  0.0137
Os  0.5000  0.5000  0.2660
Pt  0.5000  0.5000  0.7399

Record 10
VASP calculation (PBE) on SmAuO after structural relaxation.

Summary:
uncorrected formation energy	-1.75	eV/atom
space-group type	I4/mmm

Unit cell a=3.7576 b=3.7576 c=8.4596 alpha=102.83 beta=102.83 gamma=90.00
Element x y z (fractional)
Sm  0.0902  0.0902  0.1804
Sm  0.9098  0.9098  0.8196
O  0.0000  0.5000  0.0000
O  0.5000  0.0000  0.0000
Au  0.7088  0.7088  0.4177
Au  0.2912  0.2912  0.5823

Record 11
VASP calculation (PBE) on Ac8GeSe3S4 after structural relaxation.

Summary:
uncorrected formation energy	-1.82	eV/atom
space-group type	R-3m

Unit cell a=8.8286 b=8.8216 c=8.8285 alpha=120.03 beta=120.00 gamma=90.00
Element x y z (fractional)
Ac  0.2504  0.7602  0.0098
Ac  0.2505  0.7602  0.5009
Ac  0.2448  0.2342  0.4895
Ac  0.7594  0.7602  0.0098
Ac  0.2406  0.2398  0.9902
Ac  0.7552  0.7658  0.5105
Ac  0.7495  0.2398  0.4991
Ac  0.7496  0.2398  0.9902
Ge  0.0000  0.5000  0.0000
Se  0.5000  0.5000  0.0000
Se  0.5000  0.5000  0.5000
Se  0.0000  0.5000  0.5000
S  0.5000  0.0000  0.0000
S  0.5000  0.0000  0.5000
S  0.0000  0.0000  0.0000
S  0.0000  0.0000  0.5000

Record 12
VASP calculation (PBE) on CsBaCu2Pt after structural relaxation.

Summary:
formation enthalpy at 0 K	0.7517	eV/atom
space-group type	P4/mmm

Unit cell a=6.1349 b=5.7095 c=6.1349 alpha=90.00 beta=90.00 gamma=90.00
Element x y z (fractional)
Cs  0.5000  0.5000  0.5000
Cu  0.0000  0.0000  0.5000
Cu  0.5000  0.0000  0.0000
Ba  0.0000  0.0000  0.0000
Pt  0.0000  0.5000  0.0000